# 1
Entry from Alexandria via LeMat-Bulk: an optimized crystal structure of Na5CaHg6 (GGA-PBE).

Geometry as POSCAR:
```
Na5CaHg6
1.0
5.216 0.002 -1.030
-0.003 7.374 -0.001
-0.885 0.000 8.345
Hg Ca Na
6 1 5
Cartesian
0.549 5.493 2.614
0.550 1.882 2.615
1.722 1.832 7.830
3.779 1.884 4.700
2.606 5.545 -0.516
3.778 5.495 4.699
0.000 0.000 0.000
1.173 3.688 5.239
-0.002 3.687 0.000
1.156 7.375 5.167
3.155 3.689 2.075
3.172 0.002 2.147
```

## Properties
- formation enthalpy at 0 K (eV per atom) = -0.283

# 2
Entry from Alexandria via LeMat-Bulk: an optimized crystal structure of La4AlI2Cl (GGA-PBE).

Geometry as POSCAR:
```
La4AlI2Cl
1.0
-4.231 1.207 -0.677
-2.262 -5.971 3.487
0.890 6.228 5.549
I Al La Cl
2 1 4 1
Cartesian
-1.671 3.718 2.436
-0.686 0.128 4.518
0.000 0.000 0.000
-3.116 1.025 6.669
-1.465 -3.072 3.677
-2.487 0.439 1.690
0.093 3.329 5.360
-3.246 -2.382 1.405
```

# 3
Entry from Alexandria via LeMat-Bulk: an optimized crystal structure of Y4CuAu (GGA-PBE).

Geometry as POSCAR:
```
Y4CuAu
1.0
-6.799 -0.409 1.423
-1.016 -3.755 -5.932
1.426 -5.879 3.477
Y Au Cu
8 2 2
Cartesian
-0.085 -6.281 1.061
-4.281 -6.587 -0.684
-5.322 -2.975 1.448
-3.098 -4.274 -3.935
-3.291 -5.769 2.904
-6.304 -3.762 -2.092
-1.067 -7.069 -2.479
-2.108 -3.456 -0.347
-3.908 -2.082 -2.254
0.000 0.000 0.000
-2.687 -3.144 2.450
0.205 -4.817 -1.227
```

## Properties
- formation enthalpy at 0 K (eV per atom) = -0.216

# 4
Entry from Alexandria via LeMat-Bulk: an optimized crystal structure of Tl2RhAu (GGA-PBE).

Geometry as POSCAR:
```
Tl2RhAu
1.0
3.463 0.060 -0.018
1.784 2.969 -0.018
1.705 0.985 8.399
Tl Rh Au
2 1 1
Cartesian
1.782 1.029 1.951
1.675 0.967 6.438
3.491 2.015 -0.022
3.481 2.010 4.177
```

## Properties
- formation enthalpy at 0 K (eV per atom) = 0.175

# 5
Entry from Alexandria via LeMat-Bulk: an optimized crystal structure of LiAs2Rh3 (GGA-PBE).

Geometry as POSCAR:
```
LiAs2Rh3
1.0
3.991 0.000 0.000
-1.996 7.757 -2.498
0.000 -0.071 9.471
As Rh Li
6 9 3
Cartesian
1.996 0.639 7.277
1.996 2.127 3.668
0.000 5.560 3.305
0.000 7.047 -0.304
1.996 4.856 6.759
0.000 2.830 0.214
1.996 2.832 8.168
1.996 1.712 1.272
1.996 -0.035 4.736
1.996 4.429 4.321
1.996 7.260 4.114
0.000 0.426 2.859
0.000 5.975 5.701
0.000 4.855 -1.195
0.000 3.257 2.652
0.000 0.000 0.000
0.000 2.392 5.880
1.996 5.295 1.093
```

## Properties
- formation enthalpy at 0 K (eV per atom) = -0.476

# 6
Entry from Alexandria via LeMat-Bulk: an optimized crystal structure of SrNbIO2 (GGA-PBE).

Geometry as POSCAR:
```
SrNbIO2
1.0
4.511 0.000 0.000
0.000 4.511 0.000
0.000 0.000 6.311
O I Sr Nb
2 1 1 1
Cartesian
2.255 0.000 0.000
0.000 2.255 0.000
0.000 0.000 3.155
0.000 0.000 0.000
2.255 2.255 3.155
```

# 7
Entry from Alexandria via LeMat-Bulk: an optimized crystal structure of CrTeBr2 (GGA-PBE).

Geometry as POSCAR:
```
CrTeBr2
1.0
-0.246 2.737 -4.359
-4.572 1.495 -1.849
-1.339 4.974 0.153
Te Cr Br
1 1 2
Cartesian
-4.618 6.905 -4.541
-3.079 4.603 -3.027
0.000 0.000 0.000
-1.539 2.302 -1.514
```

# 8
Entry from Alexandria via LeMat-Bulk: an optimized crystal structure of BaAl2Si (GGA-PBE).

Geometry as POSCAR:
```
BaAl2Si
1.0
-0.945 -2.707 -3.541
3.607 -2.591 1.018
-2.739 -2.711 2.804
Ba Al Si
1 2 1
Cartesian
-1.842 -2.709 -0.368
1.331 -2.649 -1.261
0.000 0.000 0.000
0.434 -2.651 1.911
```

Number 1: uncorrected energy -13.81 eV for the cell shown. Number 2: uncorrected energy -36.30 eV for the cell shown. Number 3: uncorrected energy -69.06 eV for the cell shown. Number 4: uncorrected energy -14.66 eV for the cell shown. Number 5: uncorrected energy -108.37 eV for the cell shown. Number 6: uncorrected energy -22.75 eV for the cell shown. Number 7: uncorrected energy -14.56 eV for the cell shown. Number 8: uncorrected energy -13.96 eV for the cell shown.